[1]
Entry from Alexandria via LeMat-Bulk: a geometry-optimized CrNiRh2 structure (GGA-PBEsol).

Cell and atoms, written as CIF:
```
data_CrNiRh2
_symmetry_space_group_name_H-M 'I -4 m 2'
_symmetry_Int_Tables_number 119
_symmetry_space_group_name_Hall 'I -4 -2'
_cell_length_a 3.616
_cell_length_b 3.616
_cell_length_c 7.519
_cell_angle_alpha 90.00
_cell_angle_beta 90.00
_cell_angle_gamma 90.00
loop_
_atom_site_label
_atom_site_fract_x
_atom_site_fract_y
_atom_site_fract_z
Cr1 0.000 0.000 0.000
Ni1 0.000 0.500 0.750
Rh1 0.000 0.000 0.500
Rh2 0.000 0.500 0.250
```

Values from the calculation:
* DFT total energy: -8.189 eV per atom
* crystal system: tetragonal


[2]
Entry from Alexandria via LeMat-Bulk: a geometry-optimized CrNiRh2 structure (GGA-PBEsol).

Cell and atoms, written as CIF:
```
data_CrNiRh2
_symmetry_space_group_name_H-M 'C 1 m 1'
_symmetry_Int_Tables_number 8
_cell_length_a 8.602
_cell_length_b 2.610
_cell_length_c 4.430
_cell_angle_alpha 90.00
_cell_angle_beta 100.60
_cell_angle_gamma 90.00
loop_
_symmetry_equiv_pos_as_xyz
'x,y,z'
'x,-y,z'
'x+1/2,y+1/2,z'
'x+1/2,-y+1/2,z'
loop_
_atom_site_label
_atom_site_fract_x
_atom_site_fract_y
_atom_site_fract_z
Cr1 0.000 0.000 0.000
Ni1 0.255 0.000 0.748
Rh1 0.003 0.500 0.514
Rh2 0.250 0.500 0.233
```

Values from the calculation:
* DFT total energy: -8.149 eV per atom
* crystal system: monoclinic


[3]
Entry from Alexandria via LeMat-Bulk: a geometry-optimized CrNiRh2 structure (GGA-PBEsol).

Cell and atoms, written as CIF:
```
data_CrNiRh2
_symmetry_space_group_name_H-M 'A m m 2'
_symmetry_Int_Tables_number 38
_cell_length_a 3.938
_cell_length_b 2.622
_cell_length_c 9.479
_cell_angle_alpha 90.00
_cell_angle_beta 90.00
_cell_angle_gamma 90.00
loop_
_symmetry_equiv_pos_as_xyz
'x,y,z'
'-x,-y,z'
'-x,y,z'
'x,-y,z'
'x,y+1/2,z+1/2'
'-x,-y+1/2,z+1/2'
'-x,y+1/2,z+1/2'
'x,-y+1/2,z+1/2'
loop_
_atom_site_label
_atom_site_fract_x
_atom_site_fract_y
_atom_site_fract_z
Cr1 0.000 0.000 0.000
Ni1 0.500 0.000 0.133
Rh1 0.000 0.000 0.735
Rh2 0.500 0.000 0.399
```

Values from the calculation:
* DFT total energy: -8.164 eV per atom
* crystal system: orthorhombic


[4]
Entry from Alexandria via LeMat-Bulk: a geometry-optimized CrNiRh2 structure (GGA-PBEsol).

Cell and atoms, written as CIF:
```
data_CrNiRh2
_symmetry_space_group_name_H-M 'P m m 2'
_symmetry_Int_Tables_number 25
_cell_length_a 2.597
_cell_length_b 3.639
_cell_length_c 5.168
_cell_angle_alpha 90.00
_cell_angle_beta 90.00
_cell_angle_gamma 90.00
loop_
_symmetry_equiv_pos_as_xyz
'x,y,z'
'-x,-y,z'
'-x,y,z'
'x,-y,z'
loop_
_atom_site_label
_atom_site_fract_x
_atom_site_fract_y
_atom_site_fract_z
Cr1 0.000 0.000 0.000
Ni1 0.500 0.500 0.227
Rh1 0.000 0.000 0.464
Rh2 0.500 0.500 0.748
```

Values from the calculation:
* DFT total energy: -8.179 eV per atom
* crystal system: orthorhombic


[5]
Entry from Alexandria via LeMat-Bulk: a geometry-optimized CrNiRh2 structure (GGA-PBEsol).

Cell and atoms, written as CIF:
```
data_CrNiRh2
_symmetry_space_group_name_H-M 'C 1 2/m 1'
_symmetry_Int_Tables_number 12
_cell_length_a 8.462
_cell_length_b 2.598
_cell_length_c 4.530
_cell_angle_alpha 90.00
_cell_angle_beta 100.10
_cell_angle_gamma 90.00
loop_
_symmetry_equiv_pos_as_xyz
'x,y,z'
'-x,-y,-z'
'-x,y,-z'
'x,-y,z'
'x+1/2,y+1/2,z'
'-x+1/2,-y+1/2,-z'
'-x+1/2,y+1/2,-z'
'x+1/2,-y+1/2,z'
loop_
_atom_site_label
_atom_site_fract_x
_atom_site_fract_y
_atom_site_fract_z
Cr1 0.000 0.000 0.000
Ni1 0.000 0.500 0.500
Rh1 0.247 0.500 0.249
```

Values from the calculation:
* DFT total energy: -8.164 eV per atom
* crystal system: monoclinic


[6]
Entry from Alexandria via LeMat-Bulk: a geometry-optimized CrNiRh2 structure (GGA-PBEsol).

Cell and atoms, written as CIF:
```
data_CrNiRh2
_symmetry_space_group_name_H-M 'C m m m'
_symmetry_Int_Tables_number 65
_symmetry_space_group_name_Hall '-C 2 2'
_cell_length_a 5.243
_cell_length_b 7.100
_cell_length_c 2.625
_cell_angle_alpha 90.00
_cell_angle_beta 90.00
_cell_angle_gamma 90.00
loop_
_atom_site_label
_atom_site_fract_x
_atom_site_fract_y
_atom_site_fract_z
Cr1 0.000 0.000 0.000
Ni1 0.000 0.500 0.000
Rh1 0.250 0.250 0.500
```

Values from the calculation:
* DFT total energy: -8.160 eV per atom
* crystal system: orthorhombic


[7]
Entry from Alexandria via LeMat-Bulk: a geometry-optimized CrNiRh2 structure (GGA-PBEsol).

Cell and atoms, written as CIF:
```
data_CrNiRh2
_symmetry_space_group_name_H-M 'P m m m'
_symmetry_Int_Tables_number 47
_cell_length_a 2.615
_cell_length_b 3.552
_cell_length_c 5.252
_cell_angle_alpha 90.00
_cell_angle_beta 90.00
_cell_angle_gamma 90.00
loop_
_symmetry_equiv_pos_as_xyz
'x,y,z'
'-x,-y,-z'
'-x,-y,z'
'x,y,-z'
'x,-y,-z'
'-x,y,z'
'-x,y,-z'
'x,-y,z'
loop_
_atom_site_label
_atom_site_fract_x
_atom_site_fract_y
_atom_site_fract_z
Cr1 0.000 0.000 0.000
Ni1 0.000 0.000 0.500
Rh1 0.500 0.500 0.250
```

Values from the calculation:
* DFT total energy: -8.221 eV per atom
* crystal system: orthorhombic


[8]
Entry from Alexandria via LeMat-Bulk: a geometry-optimized Cr2NiRu structure (GGA-PBEsol).

Cell and atoms, written as CIF:
```
data_Cr2NiRu
_symmetry_space_group_name_H-M 'I 4/m m m'
_symmetry_Int_Tables_number 139
_symmetry_space_group_name_Hall '-I 4 2'
_cell_length_a 3.587
_cell_length_b 3.587
_cell_length_c 7.165
_cell_angle_alpha 90.00
_cell_angle_beta 90.00
_cell_angle_gamma 90.00
loop_
_atom_site_label
_atom_site_fract_x
_atom_site_fract_y
_atom_site_fract_z
Cr1 0.000 0.500 0.250
Ni1 0.000 0.000 0.000
Ru1 0.000 0.000 0.500
```

Values from the calculation:
* DFT total energy: -9.162 eV per atom
* crystal system: tetragonal


| no. | magnetic moment (μB/cell) |
| --- | --- |
| 1 | 2.157 |
| 2 | 0.123 |
| 3 | 0.476 |
| 4 | 0.063 |
| 5 | 0.168 |
| 6 | 0.744 |
| 7 | 0.225 |
| 8 | 0.001 |